A geometry-optimized CrPd2O6 structure. Source: the Alexandria database, functional PBE+U.

CIF file:
```
data_CrPd2O6
_chemical_formula_sum 'Cr1 Pd2 O6'
_space_group_name_H-M_alt 'P 1'
_space_group_IT_number 1
_cell_length_a 3.0361
_cell_length_b 6.1000
_cell_length_c 6.8308
_cell_angle_alpha 102.46
_cell_angle_beta 102.84
_cell_angle_gamma 90.68
loop_
_space_group_symop_operation_xyz
'x,y,z'
loop_
_atom_site_label
_atom_site_fract_x
_atom_site_fract_y
_atom_site_fract_z
Cr1 0.5000 0.0000 0.0000
Pd1 0.8392 0.6689 0.6701
Pd2 0.1608 0.3311 0.3299
O1 0.3582 0.8949 0.6978
O2 0.0007 0.2090 0.0190
O3 0.6796 0.5580 0.3568
O4 0.9993 0.7910 0.9810
O5 0.6418 0.1051 0.3022
O6 0.3204 0.4420 0.6432
```

Computed properties:
**DFT total energy**: -53.7 eV per cell
**Symmetry**: P-1 (2)
**Magnetization**: 1.988 μB per cell